No. 1
This record from Alexandria describes a relaxed structure of Tb2Pr6ErTm. The functional is GGA-PBE.

CIF file:
```
data_Tb2Pr6ErTm
_space_group_name_H-M_alt 'C 1 2/c 1'
_space_group_IT_number 15
_cell_length_a 9.300
_cell_length_b 15.441
_cell_length_c 9.696
_cell_angle_alpha 90.00
_cell_angle_beta 97.64
_cell_angle_gamma 90.00
loop_
_space_group_symop_operation_xyz
'x,y,z'
'-x,-y,-z'
'-x,y,-z+1/2'
'x,-y,z+1/2'
'x+1/2,y+1/2,z'
'-x+1/2,-y+1/2,-z'
'-x+1/2,y+1/2,-z+1/2'
'x+1/2,-y+1/2,z+1/2'
loop_
_atom_site_label
_atom_site_type_symbol
_atom_site_fract_x
_atom_site_fract_y
_atom_site_fract_z
Tb1 Tb 0.248 0.048 0.046
Pr1 Pr 0.059 0.177 0.446
Pr2 Pr 0.100 0.392 0.617
Pr3 Pr 0.214 0.221 0.810
Er1 Er 0.000 0.027 0.750
Tm1 Tm 0.000 0.412 0.250
```

Values from the calculation:
**Mass density**: 7.217 Mg/m³
**Energy**: -183.257 eV per cell


No. 2
This record from Alexandria describes a relaxed structure of Ac3PmPr4. The functional is GGA-PBE.

CIF file:
```
data_Ac3PmPr4
_space_group_name_H-M_alt 'P m n a'
_space_group_IT_number 53
_cell_length_a 10.850
_cell_length_b 7.584
_cell_length_c 7.579
_cell_angle_alpha 90.00
_cell_angle_beta 90.00
_cell_angle_gamma 90.00
loop_
_space_group_symop_operation_xyz
'x,y,z'
'-x,-y,-z'
'-x+1/2,-y,z+1/2'
'x+1/2,y,-z+1/2'
'x,-y,-z'
'-x,y,z'
'-x+1/2,y,-z+1/2'
'x+1/2,-y,z+1/2'
loop_
_atom_site_label
_atom_site_type_symbol
_atom_site_fract_x
_atom_site_fract_y
_atom_site_fract_z
Ac1 Ac 0.000 0.000 0.000
Ac2 Ac 0.250 0.256 0.250
Pm1 Pm 0.000 0.500 0.500
Pr1 Pr 0.000 0.000 0.500
Pr2 Pr 0.000 0.500 0.000
Pr3 Pr 0.250 0.251 0.750
```

Values from the calculation:
**Mass density**: 7.400 Mg/m³
**Energy**: -72.009 eV per cell
**Polymorph energy (0 for the lowest one)**: 0.000 eV/atom